Record 1
Entry from Alexandria: an optimized crystal structure of HoH3Rh (GGA-PBE).

Cell lengths 3.6404, 3.6404, 3.6404 Å; angles 90.00, 90.00, 90.00 degrees
Last column: nearest neighbours and their distance in Å.
Fractional positions:
H: 0.0000 0.0000 0.5000  2 Rh 1.82
H: 0.0000 0.5000 0.0000  2 Rh 1.82
H: 0.5000 0.0000 0.0000  2 Rh 1.82
Rh: 0.0000 0.0000 0.0000  6 H 1.82
Ho: 0.5000 0.5000 0.5000  12 H 2.57

=====

Record 2
Entry from Alexandria: an optimized crystal structure of CeOsC (GGA-PBE).

Properties
formation energy from the elements = 0.35 eV/atom
offset from the most stable computed form = 444 meV per atom

Cell lengths 2.8411, 2.8411, 5.7925 Å; angles 104.20, 104.20, 90.00 degrees
Last column: nearest neighbours and their distance in Å.
Fractional positions:
Ce: 0.0113 0.0113 0.0226  4 Ce 2.84, 4 C 2.93, 1 Os 2.94
Os: 0.2816 0.2816 0.5631  4 C 2.17
C: 0.7071 0.7071 0.4143  4 Os 2.17

=====

Record 3
Entry from Alexandria: an optimized crystal structure of LiCoSb (GGA-PBE).

Properties
formation energy (no corrections) = 216 meV/atom

Cell lengths 3.1865, 3.1865, 6.2425 Å; angles 90.00, 90.00, 120.00 degrees
Last column: nearest neighbours and their distance in Å.
Fractional positions:
Li: 0.6667 0.3333 0.3097  3 Co 2.74
Co: 0.0000 0.0000 0.9844  3 Sb 2.53, 3 Li 2.74
Sb: 0.3333 0.6667 0.7059  3 Co 2.53

=====

Record 4
Entry from Alexandria: an optimized crystal structure of BaBeAs2 (GGA-PBE).

Properties
formation energy from the elements = -0.55 eV/atom

Cell lengths 5.4277, 5.4277, 8.1386 Å; angles 70.52, 70.52, 90.00 degrees
Last column: nearest neighbours and their distance in Å.
Fractional positions:
As: 0.8750 0.6715 0.7500  2 Be 2.26
As: 0.3750 0.5785 0.7500  2 Be 2.26
As: 0.3285 0.6250 0.2500  2 Be 2.26
As: 0.4215 0.1250 0.2500  2 Be 2.26
Ba: 0.0000 0.0000 0.0000  8 As 3.33-3.72
Ba: 0.7500 0.2500 0.5000  8 As 3.33-3.72
Be: 0.2500 0.7500 0.5000  4 As 2.26
Be: 0.5000 0.5000 0.0000  4 As 2.26

=====

Record 5
Entry from Alexandria: an optimized crystal structure of K2AgOs (GGA-PBE).

Properties
formation energy from the elements = 1.26 eV/atom
offset from the most stable computed form = 400 meV per atom

Cell lengths 5.2948, 5.2948, 5.2948 Å; angles 60.00, 60.00, 60.00 degrees
Last column: nearest neighbours and their distance in Å.
Fractional positions:
Os: 0.7500 0.7500 0.7500  4 Ag 3.24, 4 K 3.24
K: 0.0000 0.0000 0.0000  4 K 3.24, 4 Os 3.24
K: 0.2500 0.2500 0.2500  4 K 3.24, 4 Ag 3.24
Ag: 0.5000 0.5000 0.5000  4 Os 3.24, 4 K 3.24

=====

Record 6
Entry from Alexandria: an optimized crystal structure of MoW2Se (GGA-PBE).

Properties
formation energy (no corrections) = 565 meV/atom

Cell lengths 5.2409, 5.2409, 2.9189 Å; angles 78.57, 78.57, 118.23 degrees
Last column: nearest neighbours and their distance in Å.
Fractional positions:
W: 0.0000 0.0000 0.0000  4 W 2.69-2.92, 2 Mo 2.74, 2 Se 2.74
W: 0.5000 0.5000 0.0000  4 W 2.69-2.92, 2 Se 2.74, 2 Mo 2.74
Se: 0.0000 0.5000 0.5000  2 Mo 2.69, 4 W 2.74, 2 Se 2.92
Mo: 0.5000 0.0000 0.5000  2 Se 2.69, 4 W 2.74, 2 Mo 2.92

=====

Record 7
Entry from Alexandria: an optimized crystal structure of Sm5Dy8Pb (GGA-PBE).

Properties
formation energy from the elements = 0.17 eV/atom

Cell lengths 8.4653, 8.4654, 8.4654 Å; angles 110.66, 107.13, 110.66 degrees
Last column: nearest neighbours and their distance in Å.
Fractional positions:
Dy: 0.6667 0.3925 0.9201  5 Sm 3.33-3.65, 4 Dy 3.66-3.72
Dy: 0.0799 0.7466 0.4724  5 Sm 3.33-3.65, 4 Dy 3.66-3.72
Dy: 0.9320 0.1056 0.6646  1 Pb 3.12, 3 Sm 3.15-3.44
Dy: 0.5276 0.6075 0.2742  5 Sm 3.33-3.65, 4 Dy 3.66-3.72
Dy: 0.3354 0.2674 0.4410  1 Pb 3.12, 3 Sm 3.15-3.44
Dy: 0.5590 0.8944 0.8264  1 Pb 3.12, 3 Sm 3.15-3.44
Dy: 0.7258 0.2534 0.3333  5 Sm 3.33-3.65, 4 Dy 3.66-3.72
Dy: 0.1736 0.7326 0.0680  1 Pb 3.12, 3 Sm 3.15-3.44
Pb: 0.2500 0.5000 0.7500  4 Dy 3.12
Sm: 0.8648 0.8874 0.1777  8 Dy 3.35-3.65, 2 Sm 3.56
Sm: 0.5000 0.0000 0.5000  8 Dy 3.15-3.33
Sm: 0.2903 0.1126 0.9774  8 Dy 3.35-3.65, 2 Sm 3.56
Sm: 0.8223 0.6871 0.7097  8 Dy 3.35-3.65, 2 Sm 3.56
Sm: 0.0226 0.3129 0.1352  8 Dy 3.35-3.65, 2 Sm 3.56

=====

Record 8
Entry from Alexandria: an optimized crystal structure of SrLiNiH4 (GGA-PBE).

Cell lengths 4.7975, 4.9137, 7.2599 Å; angles 90.00, 109.29, 90.00 degrees
Last column: nearest neighbours and their distance in Å.
Fractional positions:
H: 0.5000 0.5000 0.5000  2 Ni 1.72
H: 0.1243 0.7500 0.2487  1 Ni 1.69
H: 0.0000 0.5000 0.5000  2 Ni 1.72
H: 0.8757 0.2500 0.7513  1 Ni 1.69
H: 0.5000 0.0000 0.5000  2 Ni 1.72
H: 0.3671 0.7500 0.7343  1 Ni 1.63
H: 0.0000 0.0000 0.5000  2 Ni 1.72
H: 0.6329 0.2500 0.2657  1 Ni 1.63
Sr: 0.8920 0.7500 0.7839  8 H 2.42-2.59
Sr: 0.1080 0.2500 0.2161  8 H 2.42-2.59
Li: 0.6576 0.7500 0.3152  4 H 2.13
Li: 0.3424 0.2500 0.6848  4 H 2.13
Ni: 0.2480 0.7500 0.4959  6 H 1.63-1.72
Ni: 0.7520 0.2500 0.5041  6 H 1.63-1.72

=====

Record 9
Entry from Alexandria: an optimized crystal structure of Ta3CdAg (GGA-PBE).

Properties
formation energy from the elements = 1.89 eV/atom
offset from the most stable computed form = 0 meV per atom

Cell lengths 4.9149, 4.9149, 4.9149 Å; angles 90.00, 90.00, 90.00 degrees
Last column: nearest neighbours and their distance in Å.
Fractional positions:
Cd: 0.5000 0.5000 0.5000  12 Ta 3.48
Ta: 0.0000 0.0000 0.5000  2 Ag 2.46
Ta: 0.0000 0.5000 0.0000  2 Ag 2.46
Ta: 0.5000 0.0000 0.0000  2 Ag 2.46
Ag: 0.0000 0.0000 0.0000  6 Ta 2.46

=====

Record 10
Entry from Alexandria: an optimized crystal structure of SrCdSnO2 (GGA-PBE).

Properties
formation energy (no corrections) = -240 meV/atom

Cell lengths 4.5982, 5.2123, 4.5982 Å; angles 90.00, 90.00, 90.00 degrees
Last column: nearest neighbours and their distance in Å.
Fractional positions:
O: 0.5000 0.0000 0.0000  2 Cd 2.30
O: 0.0000 0.0000 0.5000  2 Cd 2.30
Sr: 0.5000 0.5000 0.5000  4 Sn 3.25, 8 O 3.48
Cd: 0.0000 0.0000 0.0000  4 O 2.30
Sn: 0.0000 0.5000 0.0000  2 Cd 2.61

=====

Record 11
Entry from Alexandria: an optimized crystal structure of BaInRu2 (GGA-PBE).

Properties
formation energy from the elements = 0.80 eV/atom

Cell lengths 9.0020, 9.0020, 9.0020 Å; angles 21.40, 21.40, 21.40 degrees
Last column: nearest neighbours and their distance in Å.
Fractional positions:
Ru: 0.0086 0.0086 0.0086  3 In 2.76
Ru: 0.4914 0.4914 0.4914  3 In 2.76
Ba: 0.2500 0.2500 0.2500  6 Ru 3.10, 6 Ba 3.34
In: 0.7500 0.7500 0.7500  6 Ru 2.76

=====

Record 12
Entry from Alexandria: an optimized crystal structure of U2Ni4P3Rh (GGA-PBE).

Properties
formation energy from the elements = -0.64 eV/atom

Cell lengths 3.7921, 3.7921, 10.0755 Å; angles 90.00, 90.00, 90.00 degrees
Last column: nearest neighbours and their distance in Å.
Fractional positions:
U: 0.0000 0.5000 0.7517  8 Ni 2.84-3.14, 6 P 2.96-3.17, 2 Rh 3.17
U: 0.5000 0.0000 0.2483  8 Ni 2.84-3.14, 6 P 2.96-3.17, 2 Rh 3.17
P: 0.5000 0.0000 0.8756  5 Ni 2.18-2.27
P: 0.0000 0.5000 0.1244  5 Ni 2.18-2.27
P: 0.0000 0.0000 0.5000  4 Ni 2.48, 4 Rh 2.68
Ni: 0.5000 0.5000 0.0000  4 P 2.27
Ni: 0.0000 0.0000 0.0000  4 P 2.27
Ni: 0.5000 0.0000 0.6589  1 P 2.18
Ni: 0.0000 0.5000 0.3411  1 P 2.18
Rh: 0.5000 0.5000 0.5000  4 Ni 2.48, 4 P 2.68

=====

Record 13
Entry from Alexandria: an optimized crystal structure of Tl6In2Hg3 (GGA-PBE).

Properties
formation energy from the elements = 0.01 eV/atom

Cell lengths 3.4913, 3.4913, 30.3564 Å; angles 86.70, 86.70, 60.00 degrees
Last column: nearest neighbours and their distance in Å.
Fractional positions:
Hg: 0.7263 0.7263 0.8210  6 Tl 3.37-3.41, 6 Hg 3.49
Hg: 0.0000 0.0000 0.0000  6 Tl 3.38, 6 Hg 3.49
Hg: 0.2737 0.2737 0.1790  6 Tl 3.37-3.41, 6 Hg 3.49
Tl: 0.9101 0.9101 0.2697  3 Hg 3.41, 3 In 3.42, 6 Tl 3.49
Tl: 0.3632 0.3632 0.9103  6 Hg 3.37-3.38, 6 Tl 3.49
Tl: 0.1826 0.1826 0.4521  3 In 3.42, 9 Tl 3.49-3.53
Tl: 0.8174 0.8174 0.5479  3 In 3.42, 9 Tl 3.49-3.53
Tl: 0.6368 0.6368 0.0897  6 Hg 3.37-3.38, 6 Tl 3.49
Tl: 0.0899 0.0899 0.7303  3 Hg 3.41, 3 In 3.42, 6 Tl 3.49
In: 0.4536 0.4536 0.6393  6 Tl 3.42, 6 In 3.49
In: 0.5464 0.5464 0.3607  6 Tl 3.42, 6 In 3.49

=====

The records above yield mass density values of 9.32 12.96 5.68 4.65 5.95 13.83 8.04 3.23 10.67 5.28 8.87 10.39 10.69 g/cm³, respectively.
The records above yield final energy values of -4.98 -8.45 -4.16 -4.29 -2.80 -9.49 -4.41 -3.60 -5.98 -3.54 -5.01 -7.57 -1.86 eV/atom, respectively.